No. 1
Computed, not measured: an optimized crystal structure of Tb2GaTe6Pb3 at the PBE-GGA level of DFT.

abc: 4.472 9.266 10.160
angles: 104.02 102.71 90.00
Positions (direct):
1 Te 0.331 0.892 0.663
2 Te 0.329 0.416 0.658
3 Te 0.669 0.108 0.337
4 Pb 0.840 0.152 0.681
5 Ga 0.500 0.000 0.000
6 Tb 0.167 0.345 0.334
7 Pb 0.500 0.500 0.000
8 Te 0.007 0.247 0.014
9 Te 0.993 0.753 0.986
10 Tb 0.833 0.655 0.666
11 Pb 0.160 0.848 0.319
12 Te 0.671 0.584 0.342

Summary:
The value obtained for the uncorrected formation energy is -0.689 eV/atom. As for the volume: 33.2 Å³ per atom. The symmetry is C2/m.

***

No. 2
Computed, not measured: an optimized crystal structure of GaTcPb3 at the PBE-GGA level of DFT.

abc: 5.415 5.415 5.415
angles: 90.00 90.00 90.00
Positions (direct):
1 Pb 0.000 0.000 0.500
2 Ga 0.000 0.000 0.000
3 Pb 0.000 0.500 0.000
4 Tc 0.500 0.500 0.500
5 Pb 0.500 0.000 0.000

Summary:
The formation energy is 1156 meV/atom. As for the volume: 31.7 Å³ per atom. The symmetry is Pm-3m.

***

No. 3
Computed, not measured: an optimized crystal structure of Ga2Tc2Pb at the PBE-GGA level of DFT.

abc: 7.143 7.143 3.362
angles: 90.00 90.00 90.00
Positions (direct):
1 Ga 0.643 0.857 0.500
2 Ga 0.357 0.143 0.500
3 Ga 0.857 0.357 0.500
4 Pb 0.000 0.000 0.000
5 Tc 0.649 0.149 0.000
6 Pb 0.500 0.500 0.000
7 Tc 0.851 0.649 0.000
8 Tc 0.149 0.351 0.000
9 Ga 0.143 0.643 0.500
10 Tc 0.351 0.851 0.000

Summary:
The formation energy is 153 meV/atom. As for the volume: 17.2 Å³ per atom. The symmetry is P4/mbm.

***

No. 4
Computed, not measured: an optimized crystal structure of Ga2Tc2Pb at the PBE-GGA level of DFT.

abc: 7.394 7.394 3.131
angles: 90.00 90.00 90.00
Positions (direct):
1 Ga 0.870 0.630 0.000
2 Pb 0.500 0.500 0.000
3 Ga 0.370 0.870 0.000
4 Pb 0.000 0.000 0.000
5 Ga 0.630 0.130 0.000
6 Tc 0.660 0.840 0.500
7 Tc 0.840 0.340 0.500
8 Tc 0.340 0.160 0.500
9 Ga 0.130 0.370 0.000
10 Tc 0.160 0.660 0.500

Summary:
The formation energy is 345 meV/atom. As for the volume: 17.1 Å³ per atom. The symmetry is P4/mbm.